This record from Alexandria describes a relaxed structure of YSbC2S. The functional is PBE-GGA. Values from VASP.

- uncorrected formation energy (meV/atom) = 1644.1

Quantum ESPRESSO input file:
```
&SYSTEM
  ibrav = 0, nat = 5, ntyp = 4
/
ATOMIC_SPECIES
Y 88.91 Y.upf
Sb 121.76 Sb.upf
C 12.01 C.upf
S 32.06 S.upf
CELL_PARAMETERS angstrom
4.476 0.000 0.000
0.000 4.476 0.000
0.000 0.000 5.297
ATOMIC_POSITIONS angstrom
Y 0.000 0.000 0.000
Sb 2.238 2.238 2.648
C 0.000 2.238 0.000
C 2.238 0.000 0.000
S 0.000 0.000 2.648
```

***

This record from Alexandria describes a relaxed structure of InTe2P. The functional is PBE-GGA. Values from VASP.

- excess energy over the best structure of this formula in the dataset (eV per atom) = 0.342
- uncorrected formation energy (meV/atom) = 365.9

Quantum ESPRESSO input file:
```
&SYSTEM
  ibrav = 0, nat = 4, ntyp = 3
/
ATOMIC_SPECIES
In 114.82 In.upf
Te 127.60 Te.upf
P 30.97 P.upf
CELL_PARAMETERS angstrom
3.502 0.000 0.000
0.000 3.700 0.000
0.000 0.000 7.704
ATOMIC_POSITIONS angstrom
In 0.000 0.000 0.000
Te 1.751 1.850 2.178
Te 1.751 1.850 5.526
P 0.000 0.000 3.852
```

***

| no. | E (eV per formula unit) |
| --- | --- |
| 1 | -24.941 |
| 2 | -12.968 |